# 1
Compound: AcGa2Cu6
Source: Alexandria
Functional: PBE
Structure: relaxed

Calculated values
Its volume is 17.335 Å³ per atom. The formation energy from the elements is -4 meV/atom. The value obtained for the density of states at the Fermi level is 2.96 states/eV/cell. The value obtained for the energy is -0.1420 hartree per atom. The space group is Immm, No. 71. The calculation puts the total moment at 0.00 μB per formula unit.

Unit cell a=7.0140 b=7.0140 c=7.0140 alpha=146.73 beta=123.37 gamma=67.29
With the nearest neighbours (Å) after each atom.
Sites, in units of the cell vectors:
1 Ac 0.0000 0.0000 0.0000  4 Cu 2.97
2 Ga 0.3727 0.8727 0.5000  6 Cu 2.50-2.74
3 Ga 0.6273 0.1273 0.5000  6 Cu 2.50-2.74
4 Cu 0.0128 0.3056 0.7073  3 Cu 2.41-2.46, 1 Ga 2.50
5 Cu 0.3292 0.5000 0.8292  3 Cu 2.27-2.41
6 Cu 0.4017 0.6944 0.7073  3 Cu 2.41-2.46, 1 Ga 2.50
7 Cu 0.5983 0.3056 0.2927  3 Cu 2.41-2.46, 1 Ga 2.50
8 Cu 0.6708 0.5000 0.1708  3 Cu 2.27-2.41
9 Cu 0.9872 0.6944 0.2927  3 Cu 2.41-2.46, 1 Ga 2.50

# 2
Compound: ZnHgS2
Source: Alexandria
Functional: PBE
Structure: relaxed

Calculated values
Its volume is 23.244 Å³ per atom. The value obtained for the energy relative to the elements, uncorrected is -44 kJ/mol of atoms. The value obtained for the density of states at the Fermi level is 0.00 states/eV/cell. The value obtained for the energy is -0.1072 hartree per atom. The space group is I-42d, No. 122. The calculation puts the total moment at 0.00 μB per formula unit.

Unit cell a=6.9544 b=6.9544 c=6.9544 alpha=131.27 beta=131.27 gamma=71.38
With the nearest neighbours (Å) after each atom.
Sites, in units of the cell vectors:
1 Zn 0.0000 0.0000 0.0000  4 S 2.36
2 Zn 0.7500 0.2500 0.5000  4 S 2.36
3 Hg 0.2500 0.7500 0.5000  4 S 2.59
4 Hg 0.5000 0.5000 0.0000  4 S 2.59
5 S 0.0908 0.6250 0.9658  2 Zn 2.36, 2 Hg 2.59
6 S 0.3750 0.3408 0.4658  2 Zn 2.36, 2 Hg 2.59
7 S 0.6592 0.1250 0.0342  2 Zn 2.36, 2 Hg 2.59
8 S 0.8750 0.9092 0.5342  2 Zn 2.36, 2 Hg 2.59

# 3
Compound: PrSb
Source: Alexandria
Functional: PBE
Structure: relaxed

Calculated values
Its volume is 29.696 Å³ per atom. The value obtained for the energy relative to the elements, uncorrected is -91 kJ/mol of atoms. The value obtained for the density of states at the Fermi level is 1.15 states/eV/cell. The value obtained for the energy is -0.1983 hartree per atom. The space group is P4/mmm, No. 123. The calculation puts the total moment at 0.00 μB per formula unit.

Unit cell a=4.1710 b=4.1710 c=3.4139 alpha=90.00 beta=90.00 gamma=90.00
With the nearest neighbours (Å) after each atom.
Sites, in units of the cell vectors:
1 Pr 0.0000 0.0000 0.0000  8 Sb 3.41, 2 Pr 3.41
2 Sb 0.5000 0.5000 0.5000  8 Pr 3.41, 2 Sb 3.41

# 4
Compound: Sc4TlIn2Pd
Source: Alexandria
Functional: PBE
Structure: relaxed

Calculated values
Its volume is 21.696 Å³ per atom. The formation energy from the elements is -464 meV/atom. The value obtained for the density of states at the Fermi level is 6.84 states/eV/cell. The value obtained for the energy is -0.1933 hartree per atom. The space group is R-3m, No. 166. The calculation puts the total moment at 0.00 μB per formula unit.

Unit cell a=8.5927 b=8.5927 c=8.5927 alpha=33.65 beta=33.65 gamma=33.65
With the nearest neighbours (Å) after each atom.
Sites, in units of the cell vectors:
1 Sc 0.1194 0.1194 0.1194  1 Pd 2.90, 4 In 3.01-3.18, 3 Tl 3.09
2 Sc 0.3715 0.3715 0.3715  4 In 2.94-3.07, 3 Pd 3.02, 1 Tl 3.12
3 Sc 0.6285 0.6285 0.6285  4 In 2.94-3.07, 3 Pd 3.02, 1 Tl 3.12
4 Sc 0.8806 0.8806 0.8806  1 Pd 2.90, 4 In 3.01-3.18, 3 Tl 3.09
5 Tl 0.5000 0.5000 0.5000  8 Sc 3.09-3.12
6 In 0.2504 0.2504 0.2504  8 Sc 2.94-3.18
7 In 0.7496 0.7496 0.7496  8 Sc 2.94-3.18
8 Pd 0.0000 0.0000 0.0000  8 Sc 2.90-3.02

> Number 2 is which compound?

ZnHgS2

> Which formula does entry 2 have?

ZnHgS2